{
  "formula": "Sm3Cu6Sn5",
  "functional": "PBE",
  "state": "relaxed",
  "lattice": [[-2.191, 4.977, 6.488], [2.191, -4.977, 6.488], [2.191, 4.977, -6.488]],
  "species": ["Sm", "Sm", "Sm", "Cu", "Cu", "Cu", "Cu", "Cu", "Cu", "Sn", "Sn", "Sn", "Sn", "Sn"],
  "fractional_positions": [[0.000, 0.000, 0.000], [0.311, 0.311, 0.000], [0.689, 0.689, 0.000], [0.157, 0.873, 0.284], [0.305, 0.500, 0.805], [0.411, 0.127, 0.284], [0.589, 0.873, 0.716], [0.695, 0.500, 0.195], [0.843, 0.127, 0.716], [0.016, 0.664, 0.352], [0.313, 0.664, 0.648], [0.500, 0.000, 0.500], [0.687, 0.336, 0.352], [0.984, 0.336, 0.648]],
  "e_tot_ry_per_atom": -0.3388,
  "m_tot_mub_per_cell": 0.00
}

***

{
  "formula": "TbSmCuSn",
  "functional": "PBE",
  "state": "relaxed",
  "lattice": [[7.370, 0.000, 0.000], [0.000, 7.370, 0.000], [0.000, 0.000, 7.370]],
  "species": ["Tb", "Tb", "Tb", "Tb", "Sm", "Sm", "Sm", "Sm", "Cu", "Cu", "Cu", "Cu", "Sn", "Sn", "Sn", "Sn"],
  "fractional_positions": [[0.000, 0.000, 0.000], [0.000, 0.500, 0.500], [0.500, 0.000, 0.500], [0.500, 0.500, 0.000], [0.000, 0.000, 0.500], [0.000, 0.500, 0.000], [0.500, 0.000, 0.000], [0.500, 0.500, 0.500], [0.250, 0.250, 0.750], [0.250, 0.750, 0.250], [0.750, 0.250, 0.250], [0.750, 0.750, 0.750], [0.250, 0.250, 0.250], [0.250, 0.750, 0.750], [0.750, 0.250, 0.750], [0.750, 0.750, 0.250]],
  "e_tot_ry_per_atom": -0.3521,
  "m_tot_mub_per_cell": 0.01
}

***

{
  "formula": "SmCuSnTe3",
  "functional": "PBE",
  "state": "relaxed",
  "lattice": [[9.209, 0.000, 0.000], [0.000, 4.289, 0.000], [-2.330, 0.000, 9.335]],
  "species": ["Sm", "Sm", "Cu", "Cu", "Sn", "Sn", "Te", "Te", "Te", "Te", "Te", "Te"],
  "fractional_positions": [[0.175, 0.250, 0.173], [0.825, 0.750, 0.827], [0.423, 0.750, 0.426], [0.577, 0.250, 0.574], [0.318, 0.750, 0.770], [0.682, 0.250, 0.230], [0.074, 0.250, 0.832], [0.278, 0.250, 0.502], [0.409, 0.750, 0.137], [0.591, 0.250, 0.863], [0.722, 0.750, 0.498], [0.926, 0.750, 0.168]],
  "raw_formation_energy_mev_per_atom": -658,
  "m_tot_mub_per_cell": 0.00
}